(1)
{"formula": "NaTiSe4", "functional": "meta-GGA SCAN", "state": "single point on PBEsol structure", "energy_ev_per_atom": -17.75, "vol_a3_per_fu": 141.09, "raw_formation_energy_ev_per_atom": -0.9877, "cell": [[-3.8577, 5.3884, 2.7959], [1.8958, -4.6964, 11.6671], [9.6985, 8.1510, -2.3273]], "species": ["Se", "Ti", "Ti", "Se", "Se", "Se", "Se", "Se", "Se", "Ti", "Se", "Ti", "Se", "Se", "Na", "Se", "Na", "Se", "Na", "Se", "Se", "Na", "Se", "Se", "Se", "Se", "Se", "Se", "Na", "Ti", "Se", "Se", "Na", "Se", "Se", "Ti", "Se", "Se", "Se", "Se", "Se", "Se", "Na", "Se", "Na", "Se", "Ti", "Ti"], "frac_coords": [[0.6440, 0.0989, 0.4495], [0.7736, 0.2673, 0.8848], [0.6996, 0.2171, 0.1246], [0.3138, 0.6023, 0.2428], [0.6862, 0.3977, 0.7572], [0.5828, 0.7491, 0.7509], [0.8138, 0.3977, 0.2572], [0.8560, 0.0989, 0.9495], [0.0131, 0.6758, 0.4974], [0.1996, 0.7829, 0.3754], [0.1440, 0.9011, 0.0505], [0.2736, 0.7326, 0.6152], [0.1862, 0.6023, 0.7428], [0.9869, 0.3242, 0.5026], [0.6675, 0.5398, 0.1201], [0.5842, 0.4548, 0.3968], [0.6864, 0.8982, 0.1288], [0.4159, 0.0889, 0.0970], [0.8136, 0.8982, 0.6288], [0.8718, 0.1174, 0.2284], [0.0828, 0.2509, 0.7491], [0.1675, 0.4602, 0.3799], [0.6282, 0.1174, 0.7284], [0.4172, 0.2509, 0.2491], [0.0842, 0.5452, 0.1032], [0.9172, 0.7491, 0.2509], [0.3560, 0.9011, 0.5505], [0.9159, 0.9111, 0.4030], [0.3136, 0.1018, 0.8712], [0.3004, 0.7829, 0.8754], [0.3718, 0.8826, 0.2716], [0.1282, 0.8826, 0.7716], [0.8325, 0.5398, 0.6201], [0.4158, 0.5452, 0.6032], [0.0841, 0.0889, 0.5970], [0.7264, 0.2673, 0.3848], [0.9943, 0.7313, 0.9628], [0.5057, 0.7313, 0.4628], [0.4869, 0.6758, 0.9974], [0.5841, 0.9111, 0.9030], [0.9158, 0.4548, 0.8968], [0.5131, 0.3242, 0.0026], [0.1864, 0.1018, 0.3712], [0.0057, 0.2687, 0.0372], [0.3325, 0.4602, 0.8799], [0.4943, 0.2687, 0.5372], [0.8004, 0.2171, 0.6246], [0.2264, 0.7326, 0.1152]]}


(2)
{"formula": "Na2TlSe2", "functional": "meta-GGA SCAN", "state": "single point on PBEsol structure", "energy_ev_per_atom": -24.87, "vol_a3_per_fu": 131.99, "raw_formation_energy_ev_per_atom": -0.6767, "cell": [[4.6501, 0.0000, 0.0000], [0.0000, 4.6501, 0.0000], [-2.3251, -2.3251, 6.1037]], "species": ["Na", "Tl", "Se", "Se", "Na"], "frac_coords": [[0.7500, 0.2500, 0.5000], [0.0000, 0.0000, 0.0000], [0.6135, 0.6135, 0.2270], [0.3865, 0.3865, 0.7730], [0.2500, 0.7500, 0.5000]]}